Tb2YInO | PBE | relaxed

Geometry as CIF:
```
data_Tb2YInO
_cell_length_a 4.804
_cell_length_b 4.804
_cell_length_c 4.805
_cell_angle_alpha 90.00
_cell_angle_beta 90.00
_cell_angle_gamma 90.00
_symmetry_space_group_name_H-M 'P 4/m m m'
_symmetry_Int_Tables_number 123
_symmetry_space_group_name_Hall '-P 4 2'
loop_
_atom_site_label
_atom_site_type_symbol
_atom_site_fract_x
_atom_site_fract_y
_atom_site_fract_z
Tb1 Tb 0.000 0.500 0.000
Y1 Y 0.000 0.000 0.500
In1 In 0.500 0.500 0.500
O1 O 0.000 0.000 0.000
```

Values from the calculation:
formation energy (no corrections)	-1435	meV per atom
V	110.9	Å³ per cell